Entry from Alexandria via LeMat-Bulk: a relaxed RbBa2PmI8 crystal (PBE-GGA).

Unit cell a=7.977 b=7.654 c=10.572 alpha=89.95 beta=89.99 gamma=90.25
Fractional positions:
1 I 0.853 0.235 0.211
2 I 0.671 0.763 0.000
3 I 0.613 0.752 0.500
4 I 0.147 0.764 0.212
5 I 0.147 0.765 0.789
6 I 0.387 0.248 0.500
7 I 0.329 0.237 0.000
8 I 0.853 0.236 0.788
9 Rb 0.000 0.000 0.500
10 Ba 0.500 0.500 0.755
11 Ba 0.500 0.500 0.245
12 Pm 0.000 0.000 0.000

Properties
Space-group type ... No. 2
Size of the total moment ... 0.00 μB/cell
Raw total energy ... -3.41 eV per atom
Formation energy from raw total energies ... -152 kJ per mole of atoms

=====

Entry from Alexandria via LeMat-Bulk: a relaxed K2CdAg crystal (PBE-GGA).

Unit cell a=4.226 b=4.230 c=8.247 alpha=90.00 beta=90.00 gamma=90.00
Fractional positions:
1 K 0.000 0.000 0.017
2 K 0.000 0.000 0.483
3 Cd 0.500 0.500 0.750
4 Ag 0.500 0.500 0.250

Properties
Space-group type ... No. 123
Energy relative to the lowest polymorph listed for this composition ... 77 meV per atom
Size of the total moment ... 0.00 μB/cell
Raw total energy ... -1.46 eV per atom

=====

Entry from Alexandria via LeMat-Bulk: a relaxed LiRe2Mo crystal (PBE-GGA).

Unit cell a=9.401 b=9.401 c=9.401 alpha=16.90 beta=16.90 gamma=16.90
Fractional positions:
1 Re 0.002 0.002 0.002
2 Re 0.498 0.498 0.498
3 Mo 0.750 0.750 0.750
4 Li 0.250 0.250 0.250

Properties
Space-group type ... No. 166
Energy relative to the lowest polymorph listed for this composition ... 106 meV per atom
Size of the total moment ... 0.00 μB/cell
Raw total energy ... -9.12 eV per atom

=====

Entry from Alexandria via LeMat-Bulk: a relaxed EuGaRu crystal (PBE-GGA).

Unit cell a=4.119 b=4.298 c=4.298 alpha=120.00 beta=90.00 gamma=90.00
Last column: magnetic moment on the atom in μB.
Fractional positions:
1 Ru 0.167 0.000 0.000  -0.27
2 Eu 0.667 0.333 0.667  6.72
3 Ga 0.167 0.667 0.333  0.02

Properties
Space-group type ... No. 187
Size of the total moment ... 6.71 μB/cell
Raw total energy ... -7.76 eV per atom